(1)
An optimized crystal structure of SrTaGaO5. Source: Alexandria, functional GGA-PBE.

Lattice parameters (Å, degrees): 5.8385 5.8385 7.5814 104.48 104.48 106.00
With the nearest neighbours (Å) after each atom.
Positions (direct):
Sr  0.1714  0.8286  0.7500  7 O 2.50-2.71
Sr  0.8286  0.1714  0.2500  7 O 2.50-2.71
Ta  0.5000  0.5000  0.0000  6 O 1.98-2.03
Ta  0.5000  0.5000  0.5000  6 O 1.98-2.03
Ga  0.1861  0.8139  0.2500  4 O 1.86-1.87
Ga  0.8139  0.1861  0.7500  4 O 1.86-1.87
O  0.1433  0.2592  0.9095  1 Ga 1.86, 1 Ta 1.99
O  0.2042  0.6077  0.4014  1 Ga 1.87, 1 Ta 2.03
O  0.2592  0.1433  0.4095  1 Ga 1.86, 1 Ta 1.99
O  0.3923  0.7958  0.0986  1 Ga 1.87, 1 Ta 2.03
O  0.4397  0.5603  0.7500  2 Ta 1.98
O  0.5603  0.4397  0.2500  2 Ta 1.98
O  0.6077  0.2042  0.9014  1 Ga 1.87, 1 Ta 2.03
O  0.7408  0.8567  0.5905  1 Ga 1.86, 1 Ta 1.99
O  0.7958  0.3923  0.5986  1 Ga 1.87, 1 Ta 2.03
O  0.8567  0.7408  0.0905  1 Ga 1.86, 1 Ta 1.99

Formation energy from raw total energies (eV/atom): -2.697
Space group: C2/c (15)

(2)
An optimized crystal structure of Sr2TbGa2O6. Source: Alexandria, functional GGA-PBE.

Lattice parameters (Å, degrees): 6.0378 6.0378 6.9953 90.00 90.00 120.00
With the nearest neighbours (Å) after each atom.
Positions (direct):
Sr  0.3333  0.6667  0.3308  3 O 2.45
Sr  0.6667  0.3333  0.6692  3 O 2.45
Tb  0.0000  0.0000  0.5000  6 O 2.29
Ga  0.3333  0.6667  0.7653  3 O 1.84
Ga  0.6667  0.3333  0.2347  3 O 1.84
O  0.0842  0.3566  0.6726  1 Ga 1.84
O  0.2724  0.9158  0.6726  1 Ga 1.84
O  0.3566  0.2724  0.3274  1 Ga 1.84
O  0.6434  0.7276  0.6726  1 Ga 1.84
O  0.7276  0.0842  0.3274  1 Ga 1.84
O  0.9158  0.6434  0.3274  1 Ga 1.84

Formation energy from raw total energies (eV/atom): -2.266
Space group: P-3 (147)

(3)
An optimized crystal structure of SrTb4Ga3O12. Source: Alexandria, functional GGA-PBE.

Lattice parameters (Å, degrees): 7.1257 7.1257 7.1257 109.47 109.47 109.47
With the nearest neighbours (Å) after each atom.
Positions (direct):
Sr  0.0000  0.0000  0.0000  12 O 2.97
Tb  0.0000  0.0000  0.5000  6 O 2.28
Tb  0.0000  0.5000  0.0000  6 O 2.28
Tb  0.5000  0.0000  0.0000  6 O 2.28
Tb  0.5000  0.5000  0.5000  6 O 2.28
Ga  0.0000  0.5000  0.5000  4 O 1.93
Ga  0.5000  0.0000  0.5000  4 O 1.93
Ga  0.5000  0.5000  0.0000  4 O 1.93
O  0.1563  0.4813  0.3250  1 Ga 1.93
O  0.1563  0.8312  0.6750  1 Ga 1.93
O  0.1688  0.3250  0.8437  1 Ga 1.93
O  0.3250  0.1563  0.4813  1 Ga 1.93
O  0.3250  0.8437  0.1688  1 Ga 1.93
O  0.4813  0.3250  0.1563  1 Ga 1.93
O  0.5187  0.6750  0.8437  1 Ga 1.93
O  0.6750  0.1563  0.8312  1 Ga 1.93
O  0.6750  0.8437  0.5187  1 Ga 1.93
O  0.8312  0.6750  0.1563  1 Ga 1.93
O  0.8437  0.1688  0.3250  1 Ga 1.93
O  0.8437  0.5187  0.6750  1 Ga 1.93

Formation energy from raw total energies (eV/atom): -2.560
Space group: Im-3 (204)

(4)
An optimized crystal structure of SrGaTc2O8. Source: Alexandria, functional GGA-PBE.

Lattice parameters (Å, degrees): 5.7047 5.7047 6.8365 90.00 90.00 120.00
With the nearest neighbours (Å) after each atom.
Positions (direct):
Sr  0.0000  0.0000  0.0000  6 O 2.63
Ga  0.0000  0.0000  0.5000  6 O 1.99
Tc  0.3333  0.6667  0.7534  4 O 1.77-1.83
Tc  0.6667  0.3333  0.2466  4 O 1.77-1.83
O  0.1462  0.3085  0.6862  1 Tc 1.83, 1 Ga 1.99
O  0.1624  0.8538  0.6862  1 Tc 1.83, 1 Ga 1.99
O  0.3085  0.1624  0.3138  1 Tc 1.83, 1 Ga 1.99
O  0.3333  0.6667  0.0125  1 Tc 1.77
O  0.6667  0.3333  0.9875  1 Tc 1.77
O  0.6915  0.8376  0.6862  1 Tc 1.83, 1 Ga 1.99
O  0.8376  0.1462  0.3138  1 Tc 1.83, 1 Ga 1.99
O  0.8538  0.6915  0.3138  1 Tc 1.83, 1 Ga 1.99

Formation energy from raw total energies (eV/atom): -1.621
Space group: P-3 (147)

(5)
An optimized crystal structure of Sr2GaTcO6. Source: Alexandria, functional GGA-PBE.

Lattice parameters (Å, degrees): 5.5976 5.5960 5.5942 60.03 60.00 59.97
With the nearest neighbours (Å) after each atom.
Positions (direct):
Sr  0.2500  0.2500  0.2500  12 O 2.80
Sr  0.7500  0.7500  0.7500  12 O 2.80
Ga  0.0000  0.0000  0.0000  6 O 1.98
Tc  0.5000  0.5000  0.5000  6 O 1.97-1.98
O  0.2504  0.2504  0.7496  1 Tc 1.98, 1 Ga 1.98
O  0.2506  0.7494  0.2506  1 Tc 1.97, 1 Ga 1.98
O  0.2507  0.7493  0.7493  1 Tc 1.97, 1 Ga 1.98
O  0.7493  0.2507  0.2507  1 Tc 1.97, 1 Ga 1.98
O  0.7494  0.2506  0.7494  1 Tc 1.97, 1 Ga 1.98
O  0.7496  0.7496  0.2504  1 Tc 1.98, 1 Ga 1.98

Formation energy from raw total energies (eV/atom): -2.156
Space group: Fmmm (69)

(6)
An optimized crystal structure of SrGaTcO5. Source: Alexandria, functional GGA-PBE.

Lattice parameters (Å, degrees): 5.8086 5.8086 7.4082 104.33 104.33 106.51
With the nearest neighbours (Å) after each atom.
Positions (direct):
Sr  0.1698  0.8302  0.7500  7 O 2.56-2.66
Sr  0.8302  0.1698  0.2500  7 O 2.56-2.66
Ga  0.1911  0.8089  0.2500  4 O 1.86-1.87
Ga  0.8089  0.1911  0.7500  4 O 1.86-1.87
Tc  0.5000  0.5000  0.0000  6 O 1.90-2.03
Tc  0.5000  0.5000  0.5000  6 O 1.90-2.03
O  0.1413  0.2594  0.9114  1 Ga 1.87, 1 Tc 1.99
O  0.1988  0.6054  0.4073  1 Ga 1.86, 1 Tc 2.03
O  0.2594  0.1413  0.4114  1 Ga 1.87, 1 Tc 1.99
O  0.3946  0.8012  0.0927  1 Ga 1.86, 1 Tc 2.03
O  0.4554  0.5446  0.7500  2 Tc 1.90
O  0.5446  0.4554  0.2500  2 Tc 1.90
O  0.6054  0.1988  0.9073  1 Ga 1.86, 1 Tc 2.03
O  0.7406  0.8587  0.5886  1 Ga 1.87, 1 Tc 1.99
O  0.8012  0.3946  0.5927  1 Ga 1.86, 1 Tc 2.03
O  0.8587  0.7406  0.0886  1 Ga 1.87, 1 Tc 1.99

Formation energy from raw total energies (eV/atom): -1.963
Space group: C2/c (15)

(7)
An optimized crystal structure of Sr3Ga2TcO8. Source: Alexandria, functional GGA-PBE.

Lattice parameters (Å, degrees): 5.6594 5.6594 7.1844 90.00 90.00 120.00
With the nearest neighbours (Å) after each atom.
Positions (direct):
Sr  0.0000  0.0000  0.0000  6 O 2.84
Sr  0.3333  0.6667  0.6438  1 O 2.28
Sr  0.6667  0.3333  0.3562  1 O 2.28
Ga  0.3333  0.6667  0.2057  4 O 1.76-1.88
Ga  0.6667  0.3333  0.7943  4 O 1.76-1.88
Tc  0.0000  0.0000  0.5000  6 O 2.03
O  0.1634  0.3269  0.3271  1 Ga 1.88, 1 Tc 2.03
O  0.1634  0.8366  0.3271  1 Ga 1.88, 1 Tc 2.03
O  0.3269  0.1634  0.6729  1 Ga 1.88, 1 Tc 2.03
O  0.3333  0.6667  0.9606  1 Ga 1.76
O  0.6667  0.3333  0.0394  1 Ga 1.76
O  0.6731  0.8366  0.3271  1 Ga 1.88, 1 Tc 2.03
O  0.8366  0.1634  0.6729  1 Ga 1.88, 1 Tc 2.03
O  0.8366  0.6731  0.6729  1 Ga 1.88, 1 Tc 2.03

Formation energy from raw total energies (eV/atom): -2.146
Space group: P-3m1 (164)

(8)
An optimized crystal structure of SrGaTcO6. Source: Alexandria, functional GGA-PBE.

Lattice parameters (Å, degrees): 5.2179 5.2179 5.3506 90.00 90.00 120.00
With the nearest neighbours (Å) after each atom.
Positions (direct):
Sr  0.0000  0.0000  0.0000  6 O 2.57
Ga  0.3333  0.6667  0.5000  6 O 2.00
Tc  0.6667  0.3333  0.5000  6 O 1.90
O  0.3933  0.0132  0.7032  1 Tc 1.90, 1 Ga 2.00
O  0.3933  0.3802  0.2968  1 Tc 1.90, 1 Ga 2.00
O  0.6198  0.0132  0.2968  1 Tc 1.90, 1 Ga 2.00
O  0.6198  0.6067  0.7032  1 Tc 1.90, 1 Ga 2.00
O  0.9868  0.3802  0.7032  1 Tc 1.90, 1 Ga 2.00
O  0.9868  0.6067  0.2968  1 Tc 1.90, 1 Ga 2.00

Formation energy from raw total energies (eV/atom): -1.803
Space group: P312 (149)

(9)
An optimized crystal structure of Sr2GaTeO6. Source: Alexandria, functional GGA-PBE.

Lattice parameters (Å, degrees): 5.7304 5.7080 9.8984 90.00 125.30 90.00
With the nearest neighbours (Å) after each atom.
Positions (direct):
Sr  0.2454  0.0149  0.2496  6 O 2.56-2.76
Sr  0.2454  0.4851  0.7496  6 O 2.56-2.76
Sr  0.7546  0.5149  0.2504  6 O 2.56-2.76
Sr  0.7546  0.9851  0.7504  6 O 2.56-2.76
Ga  0.0000  0.0000  0.5000  6 O 2.03-2.04
Ga  0.0000  0.5000  0.0000  6 O 2.03-2.04
Te  0.5000  0.0000  0.0000  6 O 2.05-2.06
Te  0.5000  0.5000  0.5000  6 O 2.05-2.06
O  0.2007  0.2339  0.9699  1 Ga 2.03, 1 Te 2.05
O  0.2007  0.2661  0.4699  1 Ga 2.03, 1 Te 2.05
O  0.2367  0.7302  0.9699  1 Ga 2.03, 1 Te 2.05
O  0.2367  0.7698  0.4699  1 Ga 2.03, 1 Te 2.05
O  0.3064  0.0062  0.7489  1 Ga 2.04, 1 Te 2.06
O  0.3064  0.4938  0.2489  1 Ga 2.04, 1 Te 2.06
O  0.6936  0.5062  0.7511  1 Ga 2.04, 1 Te 2.06
O  0.6936  0.9938  0.2511  1 Ga 2.04, 1 Te 2.06
O  0.7633  0.2302  0.5301  1 Ga 2.03, 1 Te 2.05
O  0.7633  0.2698  0.0301  1 Ga 2.03, 1 Te 2.05
O  0.7993  0.7339  0.5301  1 Ga 2.03, 1 Te 2.05
O  0.7993  0.7661  0.0301  1 Ga 2.03, 1 Te 2.05

Formation energy from raw total energies (eV/atom): -2.016
Space group: P2_1/c (14)

(10)
An optimized crystal structure of SrGaTeO5. Source: Alexandria, functional GGA-PBE.

Lattice parameters (Å, degrees): 5.9137 5.9137 7.6905 104.51 104.51 106.46
With the nearest neighbours (Å) after each atom.
Positions (direct):
Sr  0.1676  0.8324  0.7500  7 O 2.54-2.77
Sr  0.8324  0.1676  0.2500  7 O 2.54-2.77
Ga  0.1875  0.8125  0.2500  4 O 1.88
Ga  0.8125  0.1875  0.7500  4 O 1.88
Te  0.5000  0.5000  0.0000  6 O 2.02-2.10
Te  0.5000  0.5000  0.5000  6 O 2.02-2.10
O  0.1350  0.2500  0.9157  1 Ga 1.88, 1 Te 2.07
O  0.1956  0.6051  0.3987  1 Ga 1.88, 1 Te 2.10
O  0.2500  0.1350  0.4157  1 Ga 1.88, 1 Te 2.07
O  0.3949  0.8044  0.1013  1 Ga 1.88, 1 Te 2.10
O  0.4355  0.5645  0.7500  2 Te 2.02
O  0.5645  0.4355  0.2500  2 Te 2.02
O  0.6051  0.1956  0.8987  1 Ga 1.88, 1 Te 2.10
O  0.7500  0.8650  0.5843  1 Ga 1.88, 1 Te 2.07
O  0.8044  0.3949  0.6013  1 Ga 1.88, 1 Te 2.10
O  0.8650  0.7500  0.0843  1 Ga 1.88, 1 Te 2.07

Formation energy from raw total energies (eV/atom): -1.797
Space group: C2/c (15)

(11)
An optimized crystal structure of SrGaTeO6. Source: Alexandria, functional GGA-PBE.

Lattice parameters (Å, degrees): 5.2500 5.2500 10.8682 90.00 90.00 120.00
With the nearest neighbours (Å) after each atom.
Positions (direct):
Sr  0.0000  0.0000  0.0000  6 O 2.56
Sr  0.0000  0.0000  0.5000  6 O 2.56
Ga  0.3333  0.6667  0.2500  6 O 2.01
Ga  0.6667  0.3333  0.7500  6 O 2.01
Te  0.3333  0.6667  0.7500  6 O 1.95
Te  0.6667  0.3333  0.2500  6 O 1.95
O  0.0090  0.3816  0.6487  1 Te 1.95, 1 Ga 2.01
O  0.0090  0.6274  0.8513  1 Te 1.95, 1 Ga 2.01
O  0.3726  0.3816  0.8513  1 Te 1.95, 1 Ga 2.01
O  0.3726  0.9910  0.6487  1 Te 1.95, 1 Ga 2.01
O  0.3816  0.0090  0.1487  1 Te 1.95, 1 Ga 2.01
O  0.3816  0.3726  0.3513  1 Te 1.95, 1 Ga 2.01
O  0.6184  0.6274  0.6487  1 Te 1.95, 1 Ga 2.01
O  0.6184  0.9910  0.8513  1 Te 1.95, 1 Ga 2.01
O  0.6274  0.0090  0.3513  1 Te 1.95, 1 Ga 2.01
O  0.6274  0.6184  0.1487  1 Te 1.95, 1 Ga 2.01
O  0.9910  0.3726  0.1487  1 Te 1.95, 1 Ga 2.01
O  0.9910  0.6184  0.3513  1 Te 1.95, 1 Ga 2.01

Formation energy from raw total energies (eV/atom): -1.626
Space group: P-31c (163)

(12)
An optimized crystal structure of SrGa2TeO8. Source: Alexandria, functional GGA-PBE.

Lattice parameters (Å, degrees): 5.9135 5.9135 5.9135 108.80 108.80 110.83
With the nearest neighbours (Å) after each atom.
Positions (direct):
Sr  0.0000  0.0000  0.0000  8 O 2.36-2.53
Ga  0.5000  0.5000  0.0000  4 O 1.91
Ga  0.7500  0.2500  0.5000  4 O 1.83
Te  0.2500  0.7500  0.5000  8 O 2.06-2.18
O  0.3114  0.1039  0.7925  1 Ga 1.91, 1 Te 2.06
O  0.3114  0.5189  0.2075  1 Ga 1.91, 1 Te 2.06
O  0.3719  0.0305  0.3415  1 Ga 1.83
O  0.4811  0.6886  0.7925  1 Ga 1.91, 1 Te 2.06
O  0.6890  0.0305  0.6585  1 Ga 1.83
O  0.8961  0.6886  0.2075  1 Ga 1.91, 1 Te 2.06
O  0.9695  0.3110  0.3415  1 Ga 1.83
O  0.9695  0.6281  0.6585  1 Ga 1.83

Formation energy from raw total energies (eV/atom): -1.138
Space group: I-4m2 (119)